[1]
First-principles (PBE-GGA) data for LiPaNiPt after structural relaxation, as listed in Alexandria.

```
data_LiPaNiPt
_symmetry_space_group_name_H-M 'P 1'
_symmetry_Int_Tables_number 1
_cell_length_a 4.640
_cell_length_b 4.640
_cell_length_c 4.640
_cell_angle_alpha 60.00
_cell_angle_beta 60.00
_cell_angle_gamma 60.00
loop_
_symmetry_equiv_pos_as_xyz
'x,y,z'
loop_
_atom_site_label
_atom_site_type_symbol
_atom_site_fract_x
_atom_site_fract_y
_atom_site_fract_z
Li1 Li 0.000 0.000 0.000
Pa1 Pa 0.500 0.500 0.500
Ni1 Ni 0.250 0.250 0.250
Pt1 Pt 0.750 0.750 0.750
```

- energy of formation (meV/atom) = -450
- energy (eV/atom) = -6.258
- space-group type = No. 216

=====

[2]
First-principles (PBE-GGA) data for Li2PaNiS4 after structural relaxation, as listed in Alexandria.

```
data_Li2PaNiS4
_symmetry_space_group_name_H-M 'P 1'
_symmetry_Int_Tables_number 1
_cell_length_a 6.333
_cell_length_b 6.333
_cell_length_c 12.176
_cell_angle_alpha 90.00
_cell_angle_beta 90.00
_cell_angle_gamma 145.16
loop_
_symmetry_equiv_pos_as_xyz
'x,y,z'
loop_
_atom_site_label
_atom_site_type_symbol
_atom_site_fract_x
_atom_site_fract_y
_atom_site_fract_z
Li1 Li 0.111 0.889 0.553
Li2 Li 0.111 0.889 0.947
Li3 Li 0.889 0.111 0.053
Li4 Li 0.889 0.111 0.447
Pa1 Pa 0.402 0.598 0.750
Pa2 Pa 0.598 0.402 0.250
Ni1 Ni 0.336 0.664 0.250
Ni2 Ni 0.664 0.336 0.750
S1 S 0.066 0.934 0.750
S2 S 0.202 0.798 0.125
S3 S 0.202 0.798 0.375
S4 S 0.500 0.500 0.000
S5 S 0.500 0.500 0.500
S6 S 0.798 0.202 0.625
S7 S 0.798 0.202 0.875
S8 S 0.934 0.066 0.250
```

- energy (eV/atom) = -5.615
- space-group type = No. 63

=====

[3]
First-principles (PBE-GGA) data for Li2Pa2NiS6 after structural relaxation, as listed in Alexandria.

```
data_Li2Pa2NiS6
_symmetry_space_group_name_H-M 'P 1'
_symmetry_Int_Tables_number 1
_cell_length_a 6.893
_cell_length_b 6.893
_cell_length_c 6.423
_cell_angle_alpha 97.89
_cell_angle_beta 97.89
_cell_angle_gamma 124.74
loop_
_symmetry_equiv_pos_as_xyz
'x,y,z'
loop_
_atom_site_label
_atom_site_type_symbol
_atom_site_fract_x
_atom_site_fract_y
_atom_site_fract_z
Li1 Li 0.161 0.839 0.000
Li2 Li 0.839 0.161 0.000
Pa1 Pa 0.343 0.657 0.500
Pa2 Pa 0.657 0.343 0.500
Ni1 Ni 0.000 0.000 0.500
S1 S 0.059 0.433 0.748
S2 S 0.221 0.221 0.283
S3 S 0.433 0.059 0.748
S4 S 0.567 0.941 0.252
S5 S 0.779 0.779 0.717
S6 S 0.941 0.567 0.252
```

- energy (eV/atom) = -6.120
- space-group type = No. 12

=====

[4]
First-principles (PBE-GGA) data for LiPaNi2S4 after structural relaxation, as listed in Alexandria.

```
data_LiPaNi2S4
_symmetry_space_group_name_H-M 'P 1'
_symmetry_Int_Tables_number 1
_cell_length_a 5.567
_cell_length_b 5.567
_cell_length_c 5.567
_cell_angle_alpha 112.35
_cell_angle_beta 112.23
_cell_angle_gamma 103.98
loop_
_symmetry_equiv_pos_as_xyz
'x,y,z'
loop_
_atom_site_label
_atom_site_type_symbol
_atom_site_fract_x
_atom_site_fract_y
_atom_site_fract_z
Li1 Li 0.000 0.000 0.000
Pa1 Pa 0.500 0.500 0.000
Ni1 Ni 0.268 0.768 0.500
Ni2 Ni 0.732 0.232 0.500
S1 S 0.014 0.584 0.996
S2 S 0.412 0.416 0.430
S3 S 0.588 0.018 0.004
S4 S 0.986 0.982 0.570
```

- energy (eV/atom) = -5.894
- space-group type = No. 23

=====

[5]
First-principles (PBE-GGA) data for LiPaNiS4 after structural relaxation, as listed in Alexandria.

```
data_LiPaNiS4
_symmetry_space_group_name_H-M 'P 1'
_symmetry_Int_Tables_number 1
_cell_length_a 6.591
_cell_length_b 5.473
_cell_length_c 8.395
_cell_angle_alpha 90.00
_cell_angle_beta 102.05
_cell_angle_gamma 90.00
loop_
_symmetry_equiv_pos_as_xyz
'x,y,z'
loop_
_atom_site_label
_atom_site_type_symbol
_atom_site_fract_x
_atom_site_fract_y
_atom_site_fract_z
Li1 Li 0.143 0.250 0.131
Li2 Li 0.857 0.750 0.869
Pa1 Pa 0.244 0.750 0.442
Pa2 Pa 0.756 0.250 0.558
Ni1 Ni 0.248 0.250 0.681
Ni2 Ni 0.752 0.750 0.319
S1 S 0.013 0.250 0.839
S2 S 0.092 0.250 0.420
S3 S 0.496 0.519 0.714
S4 S 0.496 0.981 0.714
S5 S 0.504 0.019 0.286
S6 S 0.504 0.481 0.286
S7 S 0.908 0.750 0.580
S8 S 0.987 0.750 0.161
```

- energy (eV/atom) = -5.913
- space-group type = No. 11

=====

[6]
First-principles (PBE-GGA) data for LiPa2NiS5 after structural relaxation, as listed in Alexandria.

```
data_LiPa2NiS5
_symmetry_space_group_name_H-M 'P 1'
_symmetry_Int_Tables_number 1
_cell_length_a 8.006
_cell_length_b 8.006
_cell_length_c 11.297
_cell_angle_alpha 90.00
_cell_angle_beta 90.00
_cell_angle_gamma 153.01
loop_
_symmetry_equiv_pos_as_xyz
'x,y,z'
loop_
_atom_site_label
_atom_site_type_symbol
_atom_site_fract_x
_atom_site_fract_y
_atom_site_fract_z
Li1 Li 0.172 0.828 0.500
Li2 Li 0.828 0.172 0.000
Pa1 Pa 0.118 0.882 0.815
Pa2 Pa 0.122 0.878 0.169
Pa3 Pa 0.878 0.122 0.669
Pa4 Pa 0.882 0.118 0.315
Ni1 Ni 0.453 0.547 0.882
Ni2 Ni 0.547 0.453 0.382
S1 S 0.009 0.991 0.477
S2 S 0.304 0.696 0.161
S3 S 0.314 0.686 0.828
S4 S 0.334 0.666 0.491
S5 S 0.493 0.507 0.207
S6 S 0.507 0.493 0.707
S7 S 0.666 0.334 0.991
S8 S 0.686 0.314 0.328
S9 S 0.696 0.304 0.661
S10 S 0.991 0.009 0.977
```

- energy (eV/atom) = -6.651
- space-group type = No. 36

=====

[7]
First-principles (PBE-GGA) data for LiPaNiSb after structural relaxation, as listed in Alexandria.

```
data_LiPaNiSb
_symmetry_space_group_name_H-M 'P 1'
_symmetry_Int_Tables_number 1
_cell_length_a 4.668
_cell_length_b 4.668
_cell_length_c 4.668
_cell_angle_alpha 60.00
_cell_angle_beta 60.00
_cell_angle_gamma 60.00
loop_
_symmetry_equiv_pos_as_xyz
'x,y,z'
loop_
_atom_site_label
_atom_site_type_symbol
_atom_site_fract_x
_atom_site_fract_y
_atom_site_fract_z
Li1 Li 0.000 0.000 0.000
Pa1 Pa 0.250 0.250 0.250
Ni1 Ni 0.500 0.500 0.500
Sb1 Sb 0.750 0.750 0.750
```

- energy (eV/atom) = -5.573
- space-group type = No. 216

=====

[8]
First-principles (PBE-GGA) data for Li3Pa2NiSe6 after structural relaxation, as listed in Alexandria.

```
data_Li3Pa2NiSe6
_symmetry_space_group_name_H-M 'P 1'
_symmetry_Int_Tables_number 1
_cell_length_a 6.797
_cell_length_b 6.797
_cell_length_c 6.918
_cell_angle_alpha 99.38
_cell_angle_beta 99.38
_cell_angle_gamma 120.33
loop_
_symmetry_equiv_pos_as_xyz
'x,y,z'
loop_
_atom_site_label
_atom_site_type_symbol
_atom_site_fract_x
_atom_site_fract_y
_atom_site_fract_z
Li1 Li 0.000 0.000 0.000
Li2 Li 0.331 0.669 0.000
Li3 Li 0.669 0.331 0.000
Pa1 Pa 0.169 0.831 0.500
Pa2 Pa 0.831 0.169 0.500
Ni1 Ni 0.500 0.500 0.500
Se1 Se 0.095 0.415 0.246
Se2 Se 0.264 0.264 0.745
Se3 Se 0.415 0.095 0.246
Se4 Se 0.585 0.905 0.754
Se5 Se 0.736 0.736 0.255
Se6 Se 0.905 0.585 0.754
```

- energy (eV/atom) = -5.380
- space-group type = No. 12

=====

[9]
First-principles (PBE-GGA) data for LiPaSi2Ni2 after structural relaxation, as listed in Alexandria.

```
data_LiPaSi2Ni2
_symmetry_space_group_name_H-M 'P 1'
_symmetry_Int_Tables_number 1
_cell_length_a 3.963
_cell_length_b 3.963
_cell_length_c 6.523
_cell_angle_alpha 90.00
_cell_angle_beta 90.00
_cell_angle_gamma 120.00
loop_
_symmetry_equiv_pos_as_xyz
'x,y,z'
loop_
_atom_site_label
_atom_site_type_symbol
_atom_site_fract_x
_atom_site_fract_y
_atom_site_fract_z
Li1 Li 0.000 0.000 0.000
Pa1 Pa 0.000 0.000 0.500
Si1 Si 0.333 0.667 0.785
Si2 Si 0.667 0.333 0.215
Ni1 Ni 0.333 0.667 0.148
Ni2 Ni 0.667 0.333 0.852
```

- energy (eV/atom) = -6.218
- space-group type = No. 164

=====

[10]
First-principles (PBE-GGA) data for LiPaSi2Ni after structural relaxation, as listed in Alexandria.

```
data_LiPaSi2Ni
_symmetry_space_group_name_H-M 'P 1'
_symmetry_Int_Tables_number 1
_cell_length_a 5.617
_cell_length_b 5.617
_cell_length_c 5.617
_cell_angle_alpha 138.36
_cell_angle_beta 138.36
_cell_angle_gamma 60.35
loop_
_symmetry_equiv_pos_as_xyz
'x,y,z'
loop_
_atom_site_label
_atom_site_type_symbol
_atom_site_fract_x
_atom_site_fract_y
_atom_site_fract_z
Li1 Li 0.000 0.000 0.000
Pa1 Pa 0.750 0.250 0.500
Si1 Si 0.129 0.629 0.500
Si2 Si 0.371 0.871 0.500
Ni1 Ni 0.500 0.500 0.000
```

- energy (eV/atom) = -6.195
- space-group type = No. 119

=====

[11]
First-principles (PBE-GGA) data for LiPaNiSn after structural relaxation, as listed in Alexandria.

```
data_LiPaNiSn
_symmetry_space_group_name_H-M 'P 1'
_symmetry_Int_Tables_number 1
_cell_length_a 4.680
_cell_length_b 4.680
_cell_length_c 4.680
_cell_angle_alpha 60.00
_cell_angle_beta 60.00
_cell_angle_gamma 60.00
loop_
_symmetry_equiv_pos_as_xyz
'x,y,z'
loop_
_atom_site_label
_atom_site_type_symbol
_atom_site_fract_x
_atom_site_fract_y
_atom_site_fract_z
Li1 Li 0.000 0.000 0.000
Pa1 Pa 0.250 0.250 0.250
Ni1 Ni 0.500 0.500 0.500
Sn1 Sn 0.750 0.750 0.750
```

- energy of formation (meV/atom) = -240
- energy (eV/atom) = -5.539
- space-group type = No. 216

=====

[12]
First-principles (PBE-GGA) data for Li4Pa3NiTe8 after structural relaxation, as listed in Alexandria.

```
data_Li4Pa3NiTe8
_symmetry_space_group_name_H-M 'P 1'
_symmetry_Int_Tables_number 1
_cell_length_a 8.415
_cell_length_b 8.415
_cell_length_c 8.622
_cell_angle_alpha 119.24
_cell_angle_beta 119.24
_cell_angle_gamma 59.94
loop_
_symmetry_equiv_pos_as_xyz
'x,y,z'
loop_
_atom_site_label
_atom_site_type_symbol
_atom_site_fract_x
_atom_site_fract_y
_atom_site_fract_z
Li1 Li 0.000 0.000 0.000
Li2 Li 0.000 0.500 0.000
Li3 Li 0.500 0.000 0.000
Li4 Li 0.500 0.500 0.000
Pa1 Pa 0.000 0.000 0.500
Pa2 Pa 0.000 0.500 0.500
Pa3 Pa 0.500 0.000 0.500
Ni1 Ni 0.500 0.500 0.500
Te1 Te 0.256 0.256 0.769
Te2 Te 0.261 0.261 0.251
Te3 Te 0.262 0.729 0.252
Te4 Te 0.271 0.738 0.748
Te5 Te 0.729 0.262 0.252
Te6 Te 0.738 0.271 0.748
Te7 Te 0.739 0.739 0.749
Te8 Te 0.744 0.744 0.231
```

- energy (eV/atom) = -4.916
- space-group type = No. 12

=====

[13]
First-principles (PBE-GGA) data for LiPaTlNi after structural relaxation, as listed in Alexandria.

```
data_LiPaTlNi
_symmetry_space_group_name_H-M 'P 1'
_symmetry_Int_Tables_number 1
_cell_length_a 4.715
_cell_length_b 4.715
_cell_length_c 4.715
_cell_angle_alpha 60.00
_cell_angle_beta 60.00
_cell_angle_gamma 60.00
loop_
_symmetry_equiv_pos_as_xyz
'x,y,z'
loop_
_atom_site_label
_atom_site_type_symbol
_atom_site_fract_x
_atom_site_fract_y
_atom_site_fract_z
Li1 Li 0.000 0.000 0.000
Pa1 Pa 0.750 0.750 0.750
Tl1 Tl 0.250 0.250 0.250
Ni1 Ni 0.500 0.500 0.500
```

- energy of formation (meV/atom) = 3
- energy (eV/atom) = -4.886
- space-group type = No. 216

=====

[14]
First-principles (PBE-GGA) data for LiPaZnNi after structural relaxation, as listed in Alexandria.

```
data_LiPaZnNi
_symmetry_space_group_name_H-M 'P 1'
_symmetry_Int_Tables_number 1
_cell_length_a 4.517
_cell_length_b 4.517
_cell_length_c 4.517
_cell_angle_alpha 60.00
_cell_angle_beta 60.00
_cell_angle_gamma 60.00
loop_
_symmetry_equiv_pos_as_xyz
'x,y,z'
loop_
_atom_site_label
_atom_site_type_symbol
_atom_site_fract_x
_atom_site_fract_y
_atom_site_fract_z
Li1 Li 0.000 0.000 0.000
Pa1 Pa 0.250 0.250 0.250
Zn1 Zn 0.750 0.750 0.750
Ni1 Ni 0.500 0.500 0.500
```

- energy of formation (meV/atom) = -53
- energy (eV/atom) = -4.669
- space-group type = No. 216

=====

[15]
First-principles (PBE-GGA) data for Li2NiPb after structural relaxation, as listed in Alexandria.

```
data_Li2NiPb
_symmetry_space_group_name_H-M 'P 1'
_symmetry_Int_Tables_number 1
_cell_length_a 3.885
_cell_length_b 3.885
_cell_length_c 4.332
_cell_angle_alpha 90.00
_cell_angle_beta 90.00
_cell_angle_gamma 90.00
loop_
_symmetry_equiv_pos_as_xyz
'x,y,z'
loop_
_atom_site_label
_atom_site_type_symbol
_atom_site_fract_x
_atom_site_fract_y
_atom_site_fract_z
Li1 Li 0.000 0.500 0.000
Li2 Li 0.500 0.000 0.000
Ni1 Ni 0.000 0.000 0.500
Pb1 Pb 0.500 0.500 0.500
```

- energy of formation (meV/atom) = -91
- energy (eV/atom) = -3.420
- space-group type = No. 123

=====

[16]
First-principles (PBE-GGA) data for LiNiPb2 after structural relaxation, as listed in Alexandria.

```
data_LiNiPb2
_symmetry_space_group_name_H-M 'P 1'
_symmetry_Int_Tables_number 1
_cell_length_a 5.377
_cell_length_b 5.377
_cell_length_c 5.377
_cell_angle_alpha 138.88
_cell_angle_beta 118.50
_cell_angle_gamma 76.68
loop_
_symmetry_equiv_pos_as_xyz
'x,y,z'
loop_
_atom_site_label
_atom_site_type_symbol
_atom_site_fract_x
_atom_site_fract_y
_atom_site_fract_z
Li1 Li 0.000 0.000 0.000
Ni1 Ni 0.500 0.500 0.000
Pb1 Pb 0.274 0.774 0.500
Pb2 Pb 0.726 0.226 0.500
```

- energy of formation (meV/atom) = 69
- energy (eV/atom) = -3.709
- space-group type = No. 71

=====

[17]
First-principles (PBE-GGA) data for LiNiPb2 after structural relaxation, as listed in Alexandria.

```
data_LiNiPb2
_symmetry_space_group_name_H-M 'P 1'
_symmetry_Int_Tables_number 1
_cell_length_a 4.999
_cell_length_b 4.999
_cell_length_c 4.999
_cell_angle_alpha 60.00
_cell_angle_beta 60.00
_cell_angle_gamma 60.00
loop_
_symmetry_equiv_pos_as_xyz
'x,y,z'
loop_
_atom_site_label
_atom_site_type_symbol
_atom_site_fract_x
_atom_site_fract_y
_atom_site_fract_z
Li1 Li 0.000 0.000 0.000
Ni1 Ni 0.750 0.750 0.750
Pb1 Pb 0.250 0.250 0.250
Pb2 Pb 0.500 0.500 0.500
```

- energy of formation (meV/atom) = 268
- energy (eV/atom) = -3.510
- space-group type = No. 216

=====

[18]
First-principles (PBE-GGA) data for LiNiPb2 after structural relaxation, as listed in Alexandria.

```
data_LiNiPb2
_symmetry_space_group_name_H-M 'P 1'
_symmetry_Int_Tables_number 1
_cell_length_a 4.601
_cell_length_b 4.601
_cell_length_c 5.895
_cell_angle_alpha 102.52
_cell_angle_beta 102.52
_cell_angle_gamma 45.06
loop_
_symmetry_equiv_pos_as_xyz
'x,y,z'
loop_
_atom_site_label
_atom_site_type_symbol
_atom_site_fract_x
_atom_site_fract_y
_atom_site_fract_z
Li1 Li 0.000 0.000 0.000
Ni1 Ni 0.500 0.500 0.500
Pb1 Pb 0.234 0.234 0.722
Pb2 Pb 0.766 0.766 0.278
```

- energy of formation (meV/atom) = 29
- energy (eV/atom) = -3.749
- space-group type = No. 12

=====

[19]
First-principles (PBE-GGA) data for LiNiPb2 after structural relaxation, as listed in Alexandria.

```
data_LiNiPb2
_symmetry_space_group_name_H-M 'P 1'
_symmetry_Int_Tables_number 1
_cell_length_a 6.874
_cell_length_b 6.874
_cell_length_c 6.874
_cell_angle_alpha 152.58
_cell_angle_beta 143.93
_cell_angle_gamma 45.90
loop_
_symmetry_equiv_pos_as_xyz
'x,y,z'
loop_
_atom_site_label
_atom_site_type_symbol
_atom_site_fract_x
_atom_site_fract_y
_atom_site_fract_z
Li1 Li 0.000 0.000 0.000
Ni1 Ni 0.198 0.698 0.500
Pb1 Pb 0.377 0.377 0.000
Pb2 Pb 0.659 0.159 0.500
```

- energy of formation (meV/atom) = 29
- energy (eV/atom) = -3.749
- space-group type = No. 44

=====

[20]
First-principles (PBE-GGA) data for LiNiPb2 after structural relaxation, as listed in Alexandria.

```
data_LiNiPb2
_symmetry_space_group_name_H-M 'P 1'
_symmetry_Int_Tables_number 1
_cell_length_a 3.450
_cell_length_b 3.450
_cell_length_c 6.976
_cell_angle_alpha 90.00
_cell_angle_beta 90.00
_cell_angle_gamma 90.00
loop_
_symmetry_equiv_pos_as_xyz
'x,y,z'
loop_
_atom_site_label
_atom_site_type_symbol
_atom_site_fract_x
_atom_site_fract_y
_atom_site_fract_z
Li1 Li 0.000 0.000 0.000
Ni1 Ni 0.500 0.500 0.170
Pb1 Pb 0.000 0.000 0.392
Pb2 Pb 0.500 0.500 0.766
```

- energy of formation (meV/atom) = 67
- energy (eV/atom) = -3.710
- space-group type = No. 99